(1)
Below is crystalline Tb5TmSn4 at its relaxed geometry, with properties calculated at the PBE level.

Structure (POSCAR):
```
Tb5TmSn4
1.0
9.501 -1.836 0.000
9.501 1.836 0.000
-2.616 0.000 9.179
Tb Tm Sn
5 1 4
Cartesian
0.000 0.000 0.000
5.814 0.000 1.296
4.566 0.000 6.291
11.820 0.000 2.889
10.572 0.000 7.884
-1.308 0.000 4.590
1.641 0.000 5.384
8.774 0.000 2.267
7.613 0.000 6.913
14.745 0.000 3.795
```

Computed properties:
Its density of states at the Fermi level is 7.78 states/eV per cell. As for the spin magnetization: 0.00 μB/f.u. As for the space-group type: C2/m. The formation energy is -317 meV/atom. Its total energy is -4.6800 eV per atom.

(2)
Below is crystalline Na2LaV at its relaxed geometry, with properties calculated at the PBE level.

Structure (POSCAR):
```
Na2LaV
1.0
0.000 3.859 3.859
3.859 0.000 3.859
3.859 3.859 0.000
Na La V
2 1 1
Cartesian
1.930 1.930 1.930
5.789 5.789 5.789
0.000 0.000 0.000
3.859 3.859 3.859
```

Computed properties:
Its density of states at the Fermi level is 4.70 states/eV per cell. As for the spin magnetization: 4.25 μB/f.u. As for the space-group type: Fm-3m. The formation energy is 785 meV/atom. Its total energy is -3.3865 eV per atom. Its energy above the most stable polymorph in this dataset is 103 meV per atom.

(3)
Below is crystalline Ti2NbAlV at its relaxed geometry, with properties calculated at the PBE level.

Structure (POSCAR):
```
Ti2NbAlV
1.0
4.787 0.000 0.000
0.000 4.787 0.000
0.000 0.000 4.577
Ti Nb Al V
2 1 1 1
Cartesian
0.000 2.393 0.000
2.393 0.000 0.000
0.000 0.000 0.000
2.393 2.393 2.289
0.000 0.000 2.289
```

Computed properties:
Its density of states at the Fermi level is 5.85 states/eV per cell. As for the spin magnetization: 1.45 μB/f.u. As for the space-group type: P4/mmm. The formation energy is 1057 meV/atom. Its total energy is -6.6870 eV per atom.

(4)
Below is crystalline Ca2WAu at its relaxed geometry, with properties calculated at the PBE level.

Structure (POSCAR):
```
Ca2WAu
1.0
3.329 -4.476 0.000
3.329 4.476 0.000
0.000 0.000 2.999
Ca W Au
2 1 1
Cartesian
1.664 2.238 0.000
1.664 -2.238 0.000
0.000 0.000 1.500
3.329 0.000 1.500
```

Computed properties:
Its density of states at the Fermi level is 4.23 states/eV per cell. As for the spin magnetization: 0.02 μB/f.u. As for the space-group type: Cmmm. The formation energy is 467 meV/atom. Its total energy is -4.5912 eV per atom. Its energy above the most stable polymorph in this dataset is 169 meV per atom.

> Which of these has the lowest density of states at the Fermi level?

Ca2WAu

> density of states at the Fermi level of number 4 (Ca2WAu)?

4.23 states/eV per cell